DFT (PBE) results for crystalline TaIn2Os at its relaxed geometry.

Cell and atoms, written as POSCAR:
```
TaIn2Os
1.0
3.0752 0.0000 0.0000
0.0000 4.7065 0.0000
-0.6437 0.0000 5.1843
Ta In Os
1 2 1
Direct
0.0000 0.0000 0.0000
0.3121 0.5000 0.7421
0.6879 0.5000 0.2579
0.5000 0.0000 0.5000
```

Energy above the lowest structure with this stoichiometry = 0.403 eV/atom
E_form = 169 kJ/mol of formula units
SG = P2/m
V = 75 Å³/f.u.
E_tot = -0.4926 Ry per atom
DOS at the Fermi energy = 0.667 states/eV per atom

***

DFT (PBE) results for crystalline K6SrH8 at its relaxed geometry.

Cell and atoms, written as POSCAR:
```
K6SrH8
1.0
9.4966 0.0000 0.0000
-4.7483 8.2243 0.0000
0.0000 0.0000 4.2421
K Sr H
6 1 8
Direct
0.1164 0.4243 0.2312
0.3079 0.8836 0.2312
0.4243 0.3079 0.7688
0.5757 0.6921 0.2312
0.6921 0.1164 0.7688
0.8836 0.5757 0.7688
0.0000 0.0000 0.5000
0.9996 0.2460 0.7316
0.0004 0.7540 0.2684
0.2464 0.0004 0.7316
0.2460 0.2464 0.2684
0.3333 0.6667 0.7492
0.6667 0.3333 0.2508
0.7536 0.9996 0.2684
0.7540 0.7536 0.7316
```

SG = P-3
V = 331 Å³/f.u.
E_tot = -0.1830 Ry per atom
DOS at the Fermi energy = 0.000 states/eV per atom

***

DFT (PBE) results for crystalline NbSi2As at its relaxed geometry.

Cell and atoms, written as POSCAR:
```
NbSi2As
1.0
-3.0169 3.0169 5.0665
3.0169 -3.0169 5.0665
3.0169 3.0169 -5.0665
Nb Si As
2 4 2
Direct
0.0000 0.0000 0.0000
0.7500 0.2500 0.5000
0.1397 0.6250 0.0147
0.3750 0.3897 0.5147
0.6103 0.1250 0.9853
0.8750 0.8603 0.4853
0.2500 0.7500 0.5000
0.5000 0.5000 0.0000
```

Formation energy without anion corrections = 0.55 eV/atom
SG = I-42d
V = 92 Å³/f.u.
E_tot = -0.4293 Ry per atom
DOS at the Fermi energy = 0.900 states/eV per atom

***

- Look up the V of the second one.
  331 Å³/f.u.